The following is a DFT calculation (PBE with a Hubbard U) of a relaxed SrLaCoO4 crystal.

Cell lengths 5.4245, 5.4990, 6.8453 Å; angles 90.00, 113.37, 90.00 degrees
Sites, in units of the cell vectors:
1 Sr 0.1065 0.0000 0.2126
2 Sr 0.8935 0.5000 0.7874
3 La 0.3868 0.0152 0.7743
4 La 0.6132 0.5152 0.2257
5 Co 0.2484 0.5020 0.4970
6 Co 0.7516 0.0020 0.5030
7 O 0.0126 0.7495 0.5131
8 O 0.0882 0.5178 0.1773
9 O 0.4237 0.4737 0.8476
10 O 0.4917 0.2593 0.4870
11 O 0.5083 0.7593 0.5130
12 O 0.5763 0.9737 0.1524
13 O 0.9118 0.0178 0.8227
14 O 0.9874 0.2495 0.4869

## Properties
The value obtained for the final energy is -6.904 eV per atom. The symmetry is P2_1 (4). For the energy above the most stable polymorph in this dataset, the calculation gives 2.0 meV/atom. Its density of states at the Fermi level is 0.843 states/eV/cell.